## LiMg5 (PBE)

Data for LiMg5 after structural relaxation.

Results
**Excess energy over the best structure of this formula in the dataset**: 12.5 meV/atom
**Space group**: Cmmm

abc: 6.804 6.804 4.489
angles: 90.00 90.00 140.09
Fractional coordinates of all 6 atoms:
Li: 0.972 0.028 0.000
Mg: 0.809 0.191 0.500
Mg: 0.638 0.362 0.000
Mg: 0.472 0.528 0.500
Mg: 0.306 0.694 0.000
Mg: 0.136 0.864 0.500

---

## LiMg2 (PBE)

Data for LiMg2 after structural relaxation.

Results
**Space group**: P-62m

abc: 8.549 8.549 3.031
angles: 90.00 90.00 120.00
Fractional coordinates of all 9 atoms:
Li: 0.000 0.000 0.500
Li: 0.333 0.667 0.000
Li: 0.667 0.333 0.000
Mg: 0.000 0.311 0.000
Mg: 0.000 0.645 0.500
Mg: 0.311 0.000 0.000
Mg: 0.689 0.689 0.000
Mg: 0.645 0.000 0.500
Mg: 0.355 0.355 0.500

---

## LiMg4 (PBE)

Data for LiMg4 after structural relaxation.

Results
**Excess energy over the best structure of this formula in the dataset**: 115.7 meV/atom
**Space group**: P2_1/c

abc: 4.972 5.516 8.413
angles: 90.00 85.76 90.00
Fractional coordinates of all 10 atoms:
Li: 0.000 0.000 0.000
Li: 0.000 0.500 0.500
Mg: 0.995 0.563 0.831
Mg: 0.005 0.063 0.669
Mg: 0.005 0.437 0.169
Mg: 0.995 0.937 0.331
Mg: 0.497 0.257 0.389
Mg: 0.503 0.757 0.111
Mg: 0.503 0.743 0.611
Mg: 0.497 0.243 0.889

---

## Li7Mg3 (PBE)

Data for Li7Mg3 after structural relaxation.

Results
**Excess energy over the best structure of this formula in the dataset**: 0.0 meV/atom
**Space group**: C2/m

abc: 4.504 5.970 8.106
angles: 104.33 106.13 90.00
Fractional coordinates of all 10 atoms:
Li: 0.000 0.500 0.000
Li: 0.200 0.102 0.400
Li: 0.800 0.898 0.600
Li: 0.401 0.699 0.802
Li: 0.599 0.301 0.198
Li: 0.398 0.193 0.795
Li: 0.602 0.807 0.205
Mg: 0.000 0.000 0.000
Mg: 0.198 0.602 0.397
Mg: 0.802 0.398 0.603

---

## Li2MgMn (PBE)

Data for Li2MgMn after structural relaxation.

Results
**Space group**: Pmm2

abc: 2.871 4.164 5.994
angles: 90.00 90.00 90.00
Fractional coordinates of all 4 atoms:
Li: 0.000 0.000 0.992
Li: 0.500 0.500 0.243
Mg: 0.000 0.000 0.514
Mn: 0.500 0.500 0.751

---

## LiMg2Mn (PBE)

Data for LiMg2Mn after structural relaxation.

Results
**Space group**: C2/m

abc: 5.047 5.047 5.441
angles: 83.13 83.13 33.92
Fractional coordinates of all 4 atoms:
Li: 0.250 0.250 0.250
Mg: 0.006 0.006 0.994
Mg: 0.494 0.494 0.506
Mn: 0.750 0.750 0.750

---

## Li3MgMn (PBE)

Data for Li3MgMn after structural relaxation.

Results
**Excess energy over the best structure of this formula in the dataset**: 0.0 meV/atom
**Space group**: Pm-3m

abc: 4.836 4.836 4.836
angles: 90.00 90.00 90.00
Fractional coordinates of all 5 atoms:
Mg: 0.500 0.500 0.500
Mn: 0.000 0.000 0.000
Li: 0.000 0.500 0.000
Li: 0.000 0.000 0.500
Li: 0.500 0.000 0.000

---

## Li2MgMn (PBE)

Data for Li2MgMn after structural relaxation.

Results
**Space group**: Pmmm

abc: 3.019 3.886 6.081
angles: 90.00 90.00 90.00
Fractional coordinates of all 4 atoms:
Li: 0.000 0.000 0.983
Li: 0.000 0.000 0.517
Mg: 0.500 0.500 0.250
Mn: 0.500 0.500 0.750

---

## LiMg2Mn (PBE)

Data for LiMg2Mn after structural relaxation.

Results
**Space group**: I-4m2

abc: 5.312 5.312 5.312
angles: 134.20 134.20 66.78
Fractional coordinates of all 4 atoms:
Li: 0.750 0.250 0.500
Mg: 0.000 0.000 0.000
Mg: 0.250 0.750 0.500
Mn: 0.500 0.500 0.000

---

## Li2MgMn (PBE)

Data for Li2MgMn after structural relaxation.

Results
**Space group**: Immm

abc: 5.625 5.625 5.625
angles: 147.87 129.61 61.02
Fractional coordinates of all 4 atoms:
Li: 0.005 0.005 0.000
Li: 0.495 0.495 0.000
Mg: 0.750 0.250 0.500
Mn: 0.250 0.750 0.500

---

## Li2MgMn (PBE)

Data for Li2MgMn after structural relaxation.

Results
**Space group**: R-3m

abc: 9.952 9.952 9.952
angles: 16.63 16.63 16.63
Fractional coordinates of all 4 atoms:
Li: 0.005 0.005 0.005
Li: 0.495 0.495 0.495
Mg: 0.250 0.250 0.250
Mn: 0.750 0.750 0.750

---

## Li2MgMn (PBE)

Data for Li2MgMn after structural relaxation.

Results
**Space group**: P4/mmm

abc: 4.800 4.800 3.041
angles: 90.00 90.00 90.00
Fractional coordinates of all 4 atoms:
Li: 0.000 0.000 0.000
Li: 0.500 0.500 0.000
Mg: 0.500 0.000 0.500
Mn: 0.000 0.500 0.500

---

We obtain volume values of 22.2; 21.3; 23.0; 20.2; 17.9; 19.2; 22.6; 17.8; 19.0; 18.1; 17.6; 17.5 Å³ per atom for the records listed above, in that order.
We obtain uncorrected energy values of -1.66; -1.74; -1.57; -1.85; -3.43; -3.35; -2.64; -3.40; -3.36; -3.42; -3.43; -3.38 eV per atom for the records listed above, in that order.